Density functional theory data (PBE) for a relaxed structure of Li3Ca2Pb4.

Lattice parameters (Å, degrees): 6.6668 16.9074 8.2518 90.00 90.00 90.00
Space group Cmce (No. 64)
One atom of each set of equivalent atoms:
Li: 0.0000 0.0000 0.0000
Li: 0.2500 0.2308 0.2500
Ca: 0.0000 0.1086 0.5964
Pb: 0.0000 0.1774 0.9889
Pb: 0.2500 0.0576 0.2500

Properties
For the total magnetization, the calculation gives 0.00 μB/cell. As for the crystal system: orthorhombic. For the total energy, the calculation gives -3.09 eV/atom. The calculation puts the formation energy at -0.356 eV/atom. As for the density of states at the Fermi level: 13.10 states/eV/cell.